# Zn2CrInO

A geometry-optimized Zn2CrInO structure (PBE+U, Alexandria).

```
Zn2CrInO
1.0
-2.6633 -1.2723 3.4711
3.1682 0.1328 2.4796
-0.8982 4.3726 0.9135
Zn Cr O In
2 1 1 1
direct
0.5000 0.0000 0.0000
0.0000 0.0000 0.5000
0.0000 0.5000 0.0000
0.0000 0.0000 0.0000
0.5000 0.5000 0.5000
```

Output
As for the total energy: -3.79 eV/atom. Its space-group type is P4/mmm, No. 123.